The following is a DFT calculation (PBE with a Hubbard U) of Na2MgCrO4 after structural relaxation.

a = 5.7505 Å, b = 11.7646 Å, c = 12.3027 Å
α = 90.00°, β = 90.00°, γ = 90.00°
With the nearest neighbours (Å) after each atom.
Space group Fddd (No. 70, origin choice 2)
One atom of each set of equivalent atoms:
Na 0.1250 0.3692 0.1250 [16 per cell]  6 O 2.45-2.62
Mg 0.1250 0.1250 0.1250 [8 per cell]  4 O 2.15
Cr 0.1250 0.1250 0.6250 [8 per cell]  4 O 1.80
O 0.0838 0.2864 0.9435 [32 per cell]  1 Cr 1.80

Computed properties:
DOS(E_F) in states/eV/f.u.: 0.00

---

The following is a DFT calculation (PBE with a Hubbard U) of NaMg30CrO32 after structural relaxation.

a = 8.5308 Å, b = 8.5308 Å, c = 8.5307 Å
α = 90.00°, β = 90.00°, γ = 90.00°
With the nearest neighbours (Å) after each atom.
Space group P4/mmm (No. 123)
One atom of each set of equivalent atoms:
Na 0.0000 0.0000 0.0000 [1 per cell]  6 O 2.24-2.26
Mg 0.0000 0.0000 0.5000 [1 per cell]  6 O 2.02-2.16
Mg 0.0000 0.2479 0.2491 [8 per cell]  6 O 2.12-2.15
Mg 0.0000 0.5000 0.0000 [2 per cell]  6 O 2.01-2.21
Mg 0.0000 0.5000 0.5000 [2 per cell]  6 O 2.11-2.16
Mg 0.2463 0.2463 0.0000 [4 per cell]  6 O 2.11-2.17
Mg 0.2476 0.5000 0.2512 [8 per cell]  6 O 2.11-2.15
Mg 0.2489 0.2489 0.5000 [4 per cell]  6 O 2.12-2.14
Mg 0.5000 0.5000 0.5000 [1 per cell]  6 O 2.11-2.19
Cr 0.5000 0.5000 0.0000 [1 per cell]  6 O 2.05-2.07
O 0.0000 0.0000 0.2628 [2 per cell]  5 Mg 2.02-2.12, 1 Na 2.24
O 0.0000 0.2532 0.5000 [4 per cell]  6 Mg 2.11-2.16
O 0.0000 0.2646 0.0000 [4 per cell]  5 Mg 2.01-2.13
O 0.0000 0.5000 0.2509 [4 per cell]  6 Mg 2.11-2.15
O 0.2509 0.2509 0.2495 [8 per cell]  6 Mg 2.13-2.14
O 0.2529 0.5000 0.5000 [4 per cell]  6 Mg 2.11-2.16
O 0.2596 0.5000 0.0000 [4 per cell]  1 Cr 2.05, 5 Mg 2.15-2.21
O 0.5000 0.5000 0.2428 [2 per cell]  1 Cr 2.07, 5 Mg 2.15-2.19

Computed properties:
DOS(E_F) in states/eV/f.u.: 0.00

---

Results for VASP energy: -359.30, -384.57 (in eV/cell, following the order of the records).